[1]
Computed, not measured: a relaxed structure of In2TeP at the PBE level of DFT.

Calculated values
* ΔE_f (raw): 0.6 eV/f.u.
* energy above the lowest structure with this stoichiometry: 0.306 eV per atom
* VASP energy: -3.3542 eV/atom

a = 6.8758 Å, b = 6.8758 Å, c = 4.7280 Å
α = 70.22°, β = 70.22°, γ = 30.15°
With the nearest neighbours (Å) after each atom.
Element x y z (fractional)
P  0.7500  0.7500  0.7500  4 In 2.94, 4 Te 2.96
In  0.4379  0.4379  0.5607  2 P 2.94
In  0.0621  0.0621  0.9393  2 P 2.94
Te  0.2500  0.2500  0.2500  4 P 2.96, 2 In 3.31

---

[2]
Computed, not measured: a relaxed structure of PrScCo2H8 at the PBE level of DFT.

Calculated values
* VASP energy: -4.6207 eV/atom

a = 4.6227 Å, b = 4.6227 Å, c = 6.1630 Å
α = 67.97°, β = 67.97°, γ = 60.00°
With the nearest neighbours (Å) after each atom.
Element x y z (fractional)
H  0.6227  0.0985  0.8566  2 Co 1.65-1.73
H  0.5778  0.3773  0.1434  2 Co 1.65-1.73
H  0.2053  0.2053  0.3841  1 Co 1.70
Co  0.6924  0.6924  0.9227  7 H 1.65-1.73
H  0.7947  0.7947  0.6159  1 Co 1.70
H  0.0985  0.4222  0.8566  2 Co 1.65-1.73
Co  0.3076  0.3076  0.0773  7 H 1.65-1.73
H  0.3773  0.9015  0.1434  2 Co 1.65-1.73
H  0.4222  0.6227  0.8566  2 Co 1.65-1.73
H  0.9015  0.5778  0.1434  2 Co 1.65-1.73
Sc  0.0000  0.0000  0.0000  6 H 2.02
Pr  0.5000  0.5000  0.5000  6 H 2.33

---

[3]
Computed, not measured: a relaxed structure of MgHgRu2 at the PBE level of DFT.

Calculated values
* DFT formation energy: 24 kJ/mol of atoms
* energy above the lowest structure with this stoichiometry: 0.178 eV per atom
* VASP energy: -4.8586 eV/atom

a = 4.7883 Å, b = 4.7883 Å, c = 4.9786 Å
α = 81.19°, β = 81.19°, γ = 35.65°
With the nearest neighbours (Å) after each atom.
Element x y z (fractional)
Hg  0.4966  0.4966  0.4862  3 Mg 2.66-2.84, 7 Ru 2.83-2.95, 2 Hg 2.93
Mg  0.2532  0.2532  0.2532  3 Hg 2.66-2.84, 5 Ru 2.74-2.90, 2 Mg 2.93
Ru  0.7437  0.7437  0.7914  5 Ru 2.64-2.93, 2 Mg 2.74, 3 Hg 2.91-2.94
Ru  0.0065  0.0065  0.9692  5 Ru 2.64-2.93, 4 Hg 2.83-2.95, 3 Mg 2.84-2.90